Entry 1:
Here is a geometry-optimized Ce3InOs structure from Alexandria via LeMat-Bulk. Energies are from GGA-PBE.

Computed properties:
**Distance to the lowest polymorph of the same formula**: 0.0 meV/atom
**V**: 25.6 Å³ per atom

a = 3.752 Å, b = 8.091 Å, c = 8.658 Å
α = 102.88°, β = 90.00°, γ = 90.00°
Sites, in units of the cell vectors:
Ce: 0.250 0.071 0.654
Ce: 0.750 0.929 0.346
Ce: 0.750 0.830 0.858
Ce: 0.250 0.445 0.823
Ce: 0.750 0.555 0.177
Ce: 0.250 0.170 0.142
In: 0.750 0.341 0.480
In: 0.250 0.659 0.520
Os: 0.750 0.226 0.925
Os: 0.250 0.774 0.075

---

Entry 2:
Here is a geometry-optimized Ce4InOs2 structure from Alexandria via LeMat-Bulk. Energies are from GGA-PBE.

Computed properties:
**E**: -7.183 eV/atom
**V**: 24.3 Å³ per atom

a = 7.351 Å, b = 6.981 Å, c = 8.529 Å
α = 111.16°, β = 111.07°, γ = 105.10°
Sites, in units of the cell vectors:
In: 0.963 0.123 0.010
In: 0.170 0.806 0.493
Os: 0.731 0.745 0.273
Os: 0.721 0.305 0.197
Os: 0.463 0.332 0.620
Os: 0.085 0.450 0.862
Ce: 0.394 0.971 0.194
Ce: 0.033 0.210 0.432
Ce: 0.879 0.589 0.038
Ce: 0.845 0.610 0.633
Ce: 0.678 0.057 0.590
Ce: 0.369 0.250 0.915
Ce: 0.439 0.543 0.359
Ce: 0.480 0.758 0.885

---

Entry 3:
Here is a geometry-optimized Ce12InOs6 structure from Alexandria via LeMat-Bulk. Energies are from GGA-PBE.

Computed properties:
**E**: -7.457 eV/atom
**V**: 25.9 Å³ per atom

a = 8.378 Å, b = 8.378 Å, c = 8.378 Å
α = 106.78°, β = 106.78°, γ = 106.78°
Sites, in units of the cell vectors:
Ce: 0.886 0.114 0.500
Ce: 0.582 0.582 0.843
Ce: 0.886 0.500 0.114
Ce: 0.418 0.157 0.418
Ce: 0.157 0.418 0.418
Ce: 0.843 0.582 0.582
Ce: 0.500 0.114 0.886
Ce: 0.582 0.843 0.582
Ce: 0.114 0.500 0.886
Ce: 0.114 0.886 0.500
Ce: 0.500 0.886 0.114
Ce: 0.418 0.418 0.157
Os: 0.723 0.723 0.303
Os: 0.303 0.723 0.723
Os: 0.277 0.277 0.697
Os: 0.277 0.697 0.277
Os: 0.697 0.277 0.277
Os: 0.723 0.303 0.723
In: 0.000 0.000 0.000

---

Entry 4:
Here is a geometry-optimized Ce6In3Os structure from Alexandria via LeMat-Bulk. Energies are from GGA-PBE.

Computed properties:
**E**: -5.664 eV/atom
**V**: 27.9 Å³ per atom

a = 8.131 Å, b = 6.193 Å, c = 6.193 Å
α = 66.85°, β = 79.13°, γ = 79.13°
Sites, in units of the cell vectors:
Ce: 0.371 0.665 0.081
Ce: 0.629 0.919 0.335
Ce: 0.866 0.357 0.357
Ce: 0.629 0.335 0.919
Ce: 0.134 0.643 0.643
Ce: 0.371 0.081 0.665
In: 0.250 0.170 0.170
In: 0.000 0.000 0.000
In: 0.750 0.830 0.830
Os: 0.500 0.500 0.500

---

Entry 5:
Here is a geometry-optimized Ce6InOs structure from Alexandria via LeMat-Bulk. Energies are from GGA-PBE.

Computed properties:
**E**: -6.240 eV/atom
**V**: 28.4 Å³ per atom

a = 6.215 Å, b = 6.215 Å, c = 6.314 Å
α = 101.27°, β = 101.27°, γ = 101.48°
Sites, in units of the cell vectors:
Ce: 0.827 0.415 0.808
Ce: 0.185 0.185 0.596
Ce: 0.815 0.815 0.404
Ce: 0.173 0.585 0.192
Ce: 0.585 0.173 0.192
Ce: 0.415 0.827 0.808
In: 0.000 0.000 0.000
Os: 0.500 0.500 0.500

---

Entry 6:
Here is a geometry-optimized Ce5In2Os2 structure from Alexandria via LeMat-Bulk. Energies are from GGA-PBE.

Computed properties:
**Distance to the lowest polymorph of the same formula**: 0.0 meV/atom
**V**: 26.7 Å³ per atom

a = 8.119 Å, b = 7.363 Å, c = 8.844 Å
α = 114.60°, β = 90.00°, γ = 90.00°
Sites, in units of the cell vectors:
Ce: 0.326 0.947 0.229
Ce: 0.674 0.282 0.229
Ce: 0.674 0.053 0.771
Ce: 0.826 0.553 0.771
Ce: 0.174 0.447 0.229
Ce: 0.326 0.718 0.771
Ce: 0.000 0.000 0.000
Ce: 0.500 0.500 0.000
Ce: 0.174 0.218 0.771
Ce: 0.826 0.782 0.229
In: 0.500 0.720 0.439
In: 0.000 0.780 0.561
In: 0.500 0.280 0.561
In: 0.000 0.220 0.439
Os: 0.871 0.362 0.000
Os: 0.371 0.138 0.000
Os: 0.129 0.638 0.000
Os: 0.629 0.862 0.000

---

Entry 7:
Here is a geometry-optimized CePmInOs structure from Alexandria via LeMat-Bulk. Energies are from GGA-PBE.

Computed properties:
**Distance to the lowest polymorph of the same formula**: 190.4 meV/atom
**V**: 24.3 Å³ per atom

a = 5.164 Å, b = 5.164 Å, c = 5.164 Å
α = 60.00°, β = 60.00°, γ = 60.00°
Sites, in units of the cell vectors:
Os: 0.500 0.500 0.500
Pm: 0.250 0.250 0.250
In: 0.000 0.000 0.000
Ce: 0.750 0.750 0.750

---

Entry 8:
Here is a geometry-optimized CePmInOs structure from Alexandria via LeMat-Bulk. Energies are from GGA-PBE.

Computed properties:
**Distance to the lowest polymorph of the same formula**: 0.0 meV/atom
**V**: 24.8 Å³ per atom

a = 3.382 Å, b = 3.382 Å, c = 8.662 Å
α = 90.00°, β = 90.00°, γ = 90.00°
Sites, in units of the cell vectors:
In: 0.000 0.000 0.074
Os: 0.000 0.000 0.564
Pm: 0.500 0.500 0.779
Ce: 0.500 0.500 0.368

---

Entry 9:
Here is a geometry-optimized CeSmInOs structure from Alexandria via LeMat-Bulk. Energies are from GGA-PBE.

Computed properties:
**Distance to the lowest polymorph of the same formula**: 191.0 meV/atom
**V**: 24.2 Å³ per atom

a = 5.151 Å, b = 5.151 Å, c = 5.151 Å
α = 60.00°, β = 60.00°, γ = 60.00°
Sites, in units of the cell vectors:
In: 0.500 0.500 0.500
Ce: 0.250 0.250 0.250
Sm: 0.750 0.750 0.750
Os: 0.000 0.000 0.000

---

Entry 10:
Here is a geometry-optimized CeSmInOs structure from Alexandria via LeMat-Bulk. Energies are from GGA-PBE.

Computed properties:
**Distance to the lowest polymorph of the same formula**: 0.0 meV/atom
**V**: 24.6 Å³ per atom

a = 3.377 Å, b = 3.377 Å, c = 8.628 Å
α = 90.00°, β = 90.00°, γ = 90.00°
Sites, in units of the cell vectors:
Sm: 0.500 0.500 0.778
In: 0.000 0.000 0.072
Ce: 0.500 0.500 0.368
Os: 0.000 0.000 0.566

---

Entry 11:
Here is a geometry-optimized CeThInOs structure from Alexandria via LeMat-Bulk. Energies are from GGA-PBE.

Computed properties:
**Distance to the lowest polymorph of the same formula**: 223.2 meV/atom
**V**: 22.6 Å³ per atom

a = 5.039 Å, b = 5.039 Å, c = 5.039 Å
α = 60.00°, β = 60.00°, γ = 60.00°
Sites, in units of the cell vectors:
Th: 0.500 0.500 0.500
In: 0.000 0.000 0.000
Ce: 0.250 0.250 0.250
Os: 0.750 0.750 0.750

---

Entry 12:
Here is a geometry-optimized CeThInOs structure from Alexandria via LeMat-Bulk. Energies are from GGA-PBE.

Computed properties:
**Distance to the lowest polymorph of the same formula**: 0.0 meV/atom
**V**: 24.8 Å³ per atom

a = 3.338 Å, b = 3.338 Å, c = 8.920 Å
α = 90.00°, β = 90.00°, γ = 90.00°
Sites, in units of the cell vectors:
Ce: 0.500 0.500 0.363
In: 0.000 0.000 0.075
Th: 0.500 0.500 0.779
Os: 0.000 0.000 0.568

---

Entry 13:
Here is a geometry-optimized CeInP2 structure from Alexandria via LeMat-Bulk. Energies are from GGA-PBE.

Computed properties:
**Distance to the lowest polymorph of the same formula**: 84.6 meV/atom
**V**: 23.6 Å³ per atom

a = 4.097 Å, b = 4.097 Å, c = 6.923 Å
α = 72.79°, β = 72.79°, γ = 60.00°
Sites, in units of the cell vectors:
Ce: 0.665 0.665 0.006
In: 0.495 0.495 0.516
P: 0.084 0.084 0.749
P: 0.257 0.257 0.228

---

Entry 14:
Here is a geometry-optimized Ce2InP structure from Alexandria via LeMat-Bulk. Energies are from GGA-PBE.

Computed properties:
**Distance to the lowest polymorph of the same formula**: 30.3 meV/atom
**V**: 24.5 Å³ per atom

a = 3.478 Å, b = 3.478 Å, c = 8.118 Å
α = 90.00°, β = 90.00°, γ = 90.00°
Sites, in units of the cell vectors:
Ce: 0.000 0.000 0.794
Ce: 0.000 0.000 0.206
In: 0.500 0.500 0.500
P: 0.500 0.500 0.000

---

Entry 15:
Here is a geometry-optimized Ce2InP structure from Alexandria via LeMat-Bulk. Energies are from GGA-PBE.

Computed properties:
**Distance to the lowest polymorph of the same formula**: 0.0 meV/atom
**V**: 28.0 Å³ per atom

a = 3.969 Å, b = 3.969 Å, c = 8.528 Å
α = 76.54°, β = 76.54°, γ = 60.00°
Sites, in units of the cell vectors:
Ce: 0.734 0.734 0.798
Ce: 0.266 0.266 0.202
P: 0.000 0.000 0.000
In: 0.500 0.500 0.500

---

Entry 16:
Here is a geometry-optimized CeInP2 structure from Alexandria via LeMat-Bulk. Energies are from GGA-PBE.

Computed properties:
**Distance to the lowest polymorph of the same formula**: 309.0 meV/atom
**V**: 31.5 Å³ per atom

a = 4.407 Å, b = 4.407 Å, c = 7.910 Å
α = 73.83°, β = 73.83°, γ = 60.00°
Sites, in units of the cell vectors:
P: 0.892 0.892 0.323
P: 0.108 0.108 0.677
In: 0.000 0.000 0.000
Ce: 0.500 0.500 0.500

---

Entry 17:
Here is a geometry-optimized CeInP2 structure from Alexandria via LeMat-Bulk. Energies are from GGA-PBE.

Computed properties:
**Distance to the lowest polymorph of the same formula**: 0.0 meV/atom
**V**: 20.1 Å³ per atom

a = 3.692 Å, b = 4.663 Å, c = 4.663 Å
α = 90.00°, β = 90.00°, γ = 90.00°
Sites, in units of the cell vectors:
P: 0.000 0.500 0.000
P: 0.000 0.000 0.500
Ce: 0.500 0.000 0.000
In: 0.500 0.500 0.500

---

Entry 18:
Here is a geometry-optimized Ce2InP structure from Alexandria via LeMat-Bulk. Energies are from GGA-PBE.

Computed properties:
**Distance to the lowest polymorph of the same formula**: 27.7 meV/atom
**V**: 28.1 Å³ per atom

a = 3.923 Å, b = 3.923 Å, c = 8.731 Å
α = 77.02°, β = 77.02°, γ = 60.00°
Sites, in units of the cell vectors:
Ce: 0.267 0.267 0.199
Ce: 0.066 0.066 0.801
P: 0.667 0.667 0.999
In: 0.500 0.500 0.501

---

Entry 19:
Here is a geometry-optimized Ce3InP structure from Alexandria via LeMat-Bulk. Energies are from GGA-PBE.

Computed properties:
**E**: -5.725 eV/atom
**V**: 30.8 Å³ per atom

a = 5.362 Å, b = 5.362 Å, c = 5.362 Å
α = 90.00°, β = 90.00°, γ = 90.00°
Sites, in units of the cell vectors:
P: 0.000 0.000 0.000
Ce: 0.500 0.000 0.000
Ce: 0.000 0.000 0.500
Ce: 0.000 0.500 0.000
In: 0.500 0.500 0.500

---

Entry 20:
Here is a geometry-optimized CeIn2P2Pt7 structure from Alexandria via LeMat-Bulk. Energies are from GGA-PBE.

Computed properties:
**E**: -5.974 eV/atom
**V**: 19.9 Å³ per atom

a = 3.967 Å, b = 3.967 Å, c = 15.450 Å
α = 82.50°, β = 82.50°, γ = 90.01°
Sites, in units of the cell vectors:
In: 0.786 0.786 0.427
In: 0.214 0.214 0.573
Pt: 0.307 0.307 0.388
Pt: 0.500 0.500 0.000
Pt: 0.076 0.576 0.849
Pt: 0.924 0.424 0.151
Pt: 0.576 0.076 0.849
Pt: 0.693 0.693 0.612
Pt: 0.424 0.924 0.151
P: 0.380 0.380 0.238
P: 0.620 0.620 0.762
Ce: 0.000 0.000 0.000